No. 1
A plane-wave DFT calculation with PBE was carried out for SmGa3Pd2 after structural relaxation.

Lattice parameters (Å, degrees): 5.650 6.306 6.306 99.18 90.00 90.00
Element x y z (fractional)
1 Sm 0.250 0.341 0.341
2 Sm 0.750 0.659 0.659
3 Ga 0.750 0.443 0.125
4 Ga 0.750 0.125 0.443
5 Ga 0.250 0.557 0.875
6 Ga 0.750 0.032 0.032
7 Ga 0.250 0.968 0.968
8 Ga 0.250 0.875 0.557
9 Pd 0.500 0.776 0.224
10 Pd 0.000 0.776 0.224
11 Pd 0.000 0.224 0.776
12 Pd 0.500 0.224 0.776

Summary:
The calculation puts the formation energy at -0.69 eV/atom. The density of states at the Fermi level is 0.4112 states/eV/atom.



No. 2
A plane-wave DFT calculation with PBE was carried out for YCu2Rh2 after structural relaxation.

Lattice parameters (Å, degrees): 3.839 3.839 11.775 99.38 99.38 90.00
Element x y z (fractional)
1 Y 0.624 0.624 0.247
2 Y 0.376 0.376 0.753
3 Cu 0.000 0.500 0.000
4 Cu 0.178 0.178 0.356
5 Cu 0.500 0.000 0.000
6 Cu 0.822 0.822 0.644
7 Rh 0.750 0.250 0.500
8 Rh 0.928 0.928 0.856
9 Rh 0.072 0.072 0.144
10 Rh 0.250 0.750 0.500

Summary:
The calculation puts the formation energy at -0.22 eV/atom. The calculation puts the energy above the lowest structure with this stoichiometry at 0.0 meV/atom. The density of states at the Fermi level is 1.1396 states/eV/atom.